Here is a relaxed structure of Nd4CoI2N from Alexandria via LeMat-Bulk. Energies are from PBE-GGA.

Unit cell a=7.045 b=3.856 c=8.271 alpha=90.00 beta=106.69 gamma=90.00
Positions (direct):
Nd1 0.201 0.000 0.172
Nd2 0.270 0.500 0.823
Nd3 0.730 0.500 0.177
Nd4 0.799 0.000 0.828
Co1 0.500 0.000 0.000
I1 0.000 0.000 0.500
I2 0.500 0.500 0.500
N1 0.000 0.500 0.000

Summary:
- energy relative to the elements, uncorrected (eV per atom) = -0.833
- V (A^3/atom) = 26.91
- SG = P2/m, No. 10
- crystal system = monoclinic

***

Here is a relaxed structure of Li3NdHo2Te6 from Alexandria via LeMat-Bulk. Energies are from PBE-GGA.

Unit cell a=7.577 b=7.577 c=7.506 alpha=99.70 beta=99.70 gamma=120.00
Positions (direct):
Li1 0.000 0.000 0.000
Li2 0.335 0.665 0.000
Li3 0.665 0.335 0.000
Nd1 0.500 0.500 0.500
Ho1 0.167 0.833 0.500
Ho2 0.833 0.167 0.500
Te1 0.072 0.414 0.243
Te2 0.244 0.244 0.758
Te3 0.414 0.072 0.243
Te4 0.586 0.928 0.757
Te5 0.756 0.756 0.242
Te6 0.928 0.586 0.757

Summary:
- energy relative to the elements, uncorrected (eV per atom) = -1.288
- V (A^3/atom) = 29.28
- SG = C2/m, No. 12
- crystal system = monoclinic

***

Here is a relaxed structure of CaMg2Sn8 from Alexandria via LeMat-Bulk. Energies are from PBE-GGA.

Unit cell a=9.365 b=9.365 c=4.419 alpha=99.09 beta=99.09 gamma=123.13
Positions (direct):
Ca1 0.000 0.000 0.000
Mg1 0.338 0.662 0.500
Mg2 0.662 0.338 0.500
Sn1 0.068 0.330 0.659
Sn2 0.219 0.781 0.000
Sn3 0.330 0.068 0.659
Sn4 0.379 0.379 0.159
Sn5 0.621 0.621 0.841
Sn6 0.670 0.932 0.341
Sn7 0.781 0.219 0.000
Sn8 0.932 0.670 0.341

Summary:
- V (A^3/atom) = 27.83
- energy relative to the elements (kJ/mol of atoms) = -8
- SG = C2/m, No. 12
- crystal system = monoclinic

***

Here is a relaxed structure of GdHoIn from Alexandria via LeMat-Bulk. Energies are from PBE-GGA.

Unit cell a=3.657 b=3.657 c=12.993 alpha=90.00 beta=90.00 gamma=90.00
Positions (direct):
Gd1 0.000 0.000 0.000
Gd2 0.500 0.500 0.500
Ho1 0.000 0.000 0.312
Ho2 0.500 0.500 0.812
In1 0.000 0.000 0.660
In2 0.500 0.500 0.160

Summary:
- V (A^3/atom) = 28.96
- offset from the most stable computed form (meV/atom) = 0.0
- energy relative to the elements (kJ/mol of atoms) = -30
- SG = I4mm, No. 107
- crystal system = tetragonal

***

Here is a relaxed structure of Mg3InGa7 from Alexandria via LeMat-Bulk. Energies are from PBE-GGA.

Unit cell a=10.486 b=10.486 c=10.015 alpha=90.00 beta=90.00 gamma=156.09
Positions (direct):
Mg1 0.067 0.933 0.584
Mg2 0.067 0.933 0.916
Mg3 0.232 0.768 0.250
Mg4 0.768 0.232 0.750
Mg5 0.933 0.067 0.084
Mg6 0.933 0.067 0.416
In1 0.093 0.907 0.250
In2 0.907 0.093 0.750
Ga1 0.207 0.793 0.602
Ga2 0.207 0.793 0.898
Ga3 0.337 0.663 0.543
Ga4 0.337 0.663 0.957
Ga5 0.376 0.624 0.250
Ga6 0.468 0.532 0.612
Ga7 0.468 0.532 0.888
Ga8 0.532 0.468 0.112
Ga9 0.532 0.468 0.388
Ga10 0.624 0.376 0.750
Ga11 0.663 0.337 0.043
Ga12 0.663 0.337 0.457
Ga13 0.793 0.207 0.102
Ga14 0.793 0.207 0.398

Summary:
- V (A^3/atom) = 20.29
- energy relative to the elements (kJ/mol of atoms) = -4
- SG = Cmcm, No. 63
- crystal system = orthorhombic

***

Here is a relaxed structure of K2RbCdPb from Alexandria via LeMat-Bulk. Energies are from PBE-GGA.

Unit cell a=6.754 b=6.754 c=5.810 alpha=90.00 beta=90.00 gamma=90.00
Positions (direct):
K1 0.000 0.500 0.000
K2 0.500 0.000 0.000
Rb1 0.000 0.000 0.500
Cd1 0.500 0.500 0.000
Pb1 0.500 0.500 0.500

Summary:
- V (A^3/atom) = 53.01
- offset from the most stable computed form (meV/atom) = 5.5
- energy relative to the elements (kJ/mol of atoms) = 3
- SG = P4/mmm, No. 123
- crystal system = tetragonal

***

Here is a relaxed structure of Sr4Ca3Ir2 from Alexandria via LeMat-Bulk. Energies are from PBE-GGA.

Unit cell a=9.151 b=9.151 c=9.203 alpha=114.17 beta=114.17 gamma=27.62
Positions (direct):
Sr1 0.107 0.107 0.335
Sr2 0.272 0.272 0.859
Sr3 0.728 0.728 0.141
Sr4 0.893 0.893 0.665
Ca1 0.418 0.418 0.281
Ca2 0.500 0.500 0.000
Ca3 0.582 0.582 0.719
Ir1 0.102 0.102 0.943
Ir2 0.898 0.898 0.057

Summary:
- V (A^3/atom) = 35.99
- energy relative to the elements (kJ/mol of atoms) = -17
- SG = C2/m, No. 12
- crystal system = monoclinic

***

Here is a relaxed structure of La2CeC from Alexandria via LeMat-Bulk. Energies are from PBE-GGA.

Unit cell a=3.625 b=3.625 c=29.891 alpha=90.00 beta=90.00 gamma=120.00
Positions (direct):
La1 0.000 0.000 0.117
La2 0.000 0.000 0.883
La3 0.333 0.667 0.550
La4 0.333 0.667 0.784
La5 0.667 0.333 0.216
La6 0.667 0.333 0.450
Ce1 0.000 0.000 0.000
Ce2 0.333 0.667 0.667
Ce3 0.667 0.333 0.333
C1 0.000 0.000 0.500
C2 0.333 0.667 0.167
C3 0.667 0.333 0.833

Summary:
- V (A^3/atom) = 28.34
- energy relative to the elements (kJ/mol of atoms) = 9
- SG = R-3m, No. 166
- crystal system = trigonal

***

Here is a relaxed structure of ZnP from Alexandria via LeMat-Bulk. Energies are from PBE-GGA.

Unit cell a=6.702 b=6.702 c=6.702 alpha=90.00 beta=90.00 gamma=90.00
Positions (direct):
Zn1 0.000 0.250 0.500
Zn2 0.000 0.750 0.500
Zn3 0.250 0.500 0.000
Zn4 0.500 0.000 0.250
Zn5 0.500 0.000 0.750
Zn6 0.750 0.500 0.000
P1 0.000 0.500 0.250
P2 0.000 0.500 0.750
P3 0.250 0.000 0.500
P4 0.500 0.250 0.000
P5 0.500 0.750 0.000
P6 0.750 0.000 0.500

Summary:
- V (A^3/atom) = 25.09
- energy relative to the elements (kJ/mol of atoms) = 22
- SG = Pm-3n, No. 223
- crystal system = cubic

***

Here is a relaxed structure of Sm4GaPtBr2 from Alexandria via LeMat-Bulk. Energies are from PBE-GGA.

Unit cell a=7.592 b=4.069 c=7.779 alpha=90.00 beta=107.87 gamma=90.00
Positions (direct):
Sm1 0.229 0.000 0.202
Sm2 0.248 0.500 0.780
Sm3 0.752 0.500 0.220
Sm4 0.771 0.000 0.798
Ga1 0.500 0.000 0.000
Pt1 0.000 0.500 0.000
Br1 0.000 0.000 0.500
Br2 0.500 0.500 0.500

Summary:
- energy relative to the elements, uncorrected (eV per atom) = -1.029
- V (A^3/atom) = 28.59
- SG = P2/m, No. 10
- crystal system = monoclinic

***

Here is a relaxed structure of MgSnIr2 from Alexandria via LeMat-Bulk. Energies are from PBE-GGA.

Unit cell a=3.247 b=3.247 c=6.183 alpha=90.00 beta=90.00 gamma=90.00
Positions (direct):
Mg1 0.000 0.000 0.000
Sn1 0.000 0.000 0.500
Ir1 0.500 0.500 0.251
Ir2 0.500 0.500 0.749

Summary:
- V (A^3/atom) = 16.30
- offset from the most stable computed form (meV/atom) = 77.9
- energy relative to the elements (kJ/mol of atoms) = -24
- SG = P4/mmm, No. 123
- crystal system = tetragonal

***

Here is a relaxed structure of RbReTe2I from Alexandria via LeMat-Bulk. Energies are from PBE-GGA.

Unit cell a=5.241 b=5.241 c=6.169 alpha=90.00 beta=90.00 gamma=90.00
Positions (direct):
Rb1 0.000 0.000 0.000
Re1 0.500 0.500 0.500
Te1 0.000 0.500 0.500
Te2 0.500 0.000 0.500
I1 0.500 0.500 0.000

Summary:
- energy relative to the elements, uncorrected (eV per atom) = 0.049
- V (A^3/atom) = 33.90
- SG = P4/mmm, No. 123
- crystal system = tetragonal

***

Here is a relaxed structure of Pm12Sn5Ru2 from Alexandria via LeMat-Bulk. Energies are from PBE-GGA.

Unit cell a=9.634 b=9.634 c=9.939 alpha=104.79 beta=104.79 gamma=47.34
Positions (direct):
Pm1 0.003 0.003 0.235
Pm2 0.078 0.603 0.919
Pm3 0.103 0.599 0.427
Pm4 0.397 0.922 0.081
Pm5 0.401 0.897 0.573
Pm6 0.497 0.497 0.177
Pm7 0.503 0.503 0.823
Pm8 0.599 0.103 0.427
Pm9 0.603 0.078 0.919
Pm10 0.897 0.401 0.573
Pm11 0.922 0.397 0.081
Pm12 0.997 0.997 0.765
Sn1 0.190 0.190 0.833
Sn2 0.197 0.197 0.359
Sn3 0.500 0.500 0.500
Sn4 0.803 0.803 0.641
Sn5 0.810 0.810 0.167
Ru1 0.210 0.790 0.000
Ru2 0.790 0.210 0.000

Summary:
- V (A^3/atom) = 34.28
- energy relative to the elements (kJ/mol of atoms) = -36
- SG = C2/m, No. 12
- crystal system = monoclinic

***

Here is a relaxed structure of ZrCu2Ir from Alexandria via LeMat-Bulk. Energies are from PBE-GGA.

Unit cell a=3.847 b=3.847 c=4.101 alpha=90.00 beta=90.00 gamma=90.00
Positions (direct):
Zr1 0.000 0.000 0.000
Cu1 0.000 0.500 0.500
Cu2 0.500 0.000 0.500
Ir1 0.500 0.500 0.000

Summary:
- V (A^3/atom) = 15.18
- offset from the most stable computed form (meV/atom) = 123.0
- energy relative to the elements (kJ/mol of atoms) = -26
- SG = P4/mmm, No. 123
- crystal system = tetragonal

***

Here is a relaxed structure of YBe2Co from Alexandria via LeMat-Bulk. Energies are from PBE-GGA.

Unit cell a=3.690 b=3.690 c=4.283 alpha=90.00 beta=90.00 gamma=90.00
Positions (direct):
Y1 0.000 0.000 0.000
Be1 0.000 0.500 0.500
Be2 0.500 0.000 0.500
Co1 0.500 0.500 0.000

Summary:
- V (A^3/atom) = 14.58
- offset from the most stable computed form (meV/atom) = 544.9
- energy relative to the elements (kJ/mol of atoms) = 34
- SG = P4/mmm, No. 123
- crystal system = tetragonal

***

Here is a relaxed structure of AlAs from Alexandria via LeMat-Bulk. Energies are from PBE-GGA.

Unit cell a=7.019 b=7.019 c=7.019 alpha=90.00 beta=90.00 gamma=90.00
Positions (direct):
Al1 0.158 0.158 0.158
Al2 0.158 0.342 0.658
Al3 0.342 0.658 0.158
Al4 0.342 0.842 0.658
Al5 0.658 0.158 0.342
Al6 0.658 0.342 0.842
Al7 0.842 0.658 0.342
Al8 0.842 0.842 0.842
As1 0.142 0.642 0.858
As2 0.142 0.858 0.358
As3 0.358 0.142 0.858
As4 0.358 0.358 0.358
As5 0.642 0.642 0.642
As6 0.642 0.858 0.142
As7 0.858 0.142 0.642
As8 0.858 0.358 0.142

Summary:
- V (A^3/atom) = 21.61
- energy relative to the elements (kJ/mol of atoms) = -33
- SG = Pa-3, No. 205
- crystal system = cubic

***

Here is a relaxed structure of TiCu2Ni2 from Alexandria via LeMat-Bulk. Energies are from PBE-GGA.

Unit cell a=4.247 b=6.474 c=4.900 alpha=90.00 beta=90.00 gamma=90.00
Positions (direct):
Ti1 0.000 0.000 0.000
Ti2 0.500 0.500 0.000
Cu1 0.000 0.175 0.500
Cu2 0.000 0.825 0.500
Cu3 0.500 0.325 0.500
Cu4 0.500 0.675 0.500
Ni1 0.000 0.500 0.253
Ni2 0.000 0.500 0.747
Ni3 0.500 0.000 0.253
Ni4 0.500 0.000 0.747

Summary:
- V (A^3/atom) = 13.47
- offset from the most stable computed form (meV/atom) = 285.9
- energy relative to the elements (kJ/mol of atoms) = 7
- SG = Cmmm, No. 65
- crystal system = orthorhombic

***

Here is a relaxed structure of Zr4Sc5Zn from Alexandria via LeMat-Bulk. Energies are from PBE-GGA.

Unit cell a=3.216 b=3.216 c=21.809 alpha=90.00 beta=90.00 gamma=90.00
Positions (direct):
Zr1 0.000 0.000 0.105
Zr2 0.000 0.000 0.314
Zr3 0.000 0.000 0.686
Zr4 0.000 0.000 0.895
Sc1 0.500 0.500 0.000
Sc2 0.500 0.500 0.208
Sc3 0.500 0.500 0.416
Sc4 0.500 0.500 0.584
Sc5 0.500 0.500 0.792
Zn1 0.000 0.000 0.500

Summary:
- V (A^3/atom) = 22.55
- energy relative to the elements (kJ/mol of atoms) = -6
- SG = P4/mmm, No. 123
- crystal system = tetragonal

***

Here is a relaxed structure of KTmSi2O6 from Alexandria via LeMat-Bulk. Energies are from PBE-GGA.

Unit cell a=7.070 b=7.070 c=5.474 alpha=99.57 beta=99.57 gamma=87.10
Positions (direct):
K1 0.180 0.820 0.750
K2 0.820 0.180 0.250
Tm1 0.387 0.613 0.250
Tm2 0.613 0.387 0.750
Si1 0.135 0.301 0.786
Si2 0.301 0.135 0.286
Si3 0.699 0.865 0.714
Si4 0.865 0.699 0.214
O1 0.083 0.620 0.272
O2 0.153 0.174 0.023
O3 0.174 0.153 0.523
O4 0.311 0.453 0.860
O5 0.380 0.917 0.228
O6 0.453 0.311 0.360
O7 0.547 0.689 0.640
O8 0.620 0.083 0.772
O9 0.689 0.547 0.140
O10 0.826 0.847 0.477
O11 0.847 0.826 0.977
O12 0.917 0.380 0.728

Summary:
- energy relative to the elements, uncorrected (eV per atom) = -2.932
- V (A^3/atom) = 13.30
- SG = C2/c, No. 15
- crystal system = monoclinic

***

Here is a relaxed structure of CsKBa2Au from Alexandria via LeMat-Bulk. Energies are from PBE-GGA.

Unit cell a=6.544 b=6.544 c=7.348 alpha=90.00 beta=90.00 gamma=90.00
Positions (direct):
Cs1 0.000 0.000 0.000
K1 0.500 0.500 0.000
Ba1 0.000 0.500 0.500
Ba2 0.500 0.000 0.500
Au1 0.000 0.000 0.500

Summary:
- V (A^3/atom) = 62.93
- offset from the most stable computed form (meV/atom) = 0.0
- energy relative to the elements (kJ/mol of atoms) = -19
- SG = P4/mmm, No. 123
- crystal system = tetragonal

***

Here is a relaxed structure of AlTcTe2 from Alexandria via LeMat-Bulk. Energies are from PBE-GGA.

Unit cell a=6.233 b=6.233 c=11.775 alpha=90.00 beta=90.00 gamma=90.00
Positions (direct):
Al1 0.000 0.000 0.000
Al2 0.000 0.500 0.250
Al3 0.500 0.000 0.750
Al4 0.500 0.500 0.500
Tc1 0.000 0.000 0.500
Tc2 0.000 0.500 0.750
Tc3 0.500 0.000 0.250
Tc4 0.500 0.500 0.000
Te1 0.234 0.250 0.625
Te2 0.250 0.734 0.875
Te3 0.250 0.766 0.375
Te4 0.266 0.250 0.125
Te5 0.734 0.750 0.125
Te6 0.750 0.234 0.375
Te7 0.750 0.266 0.875
Te8 0.766 0.750 0.625

Summary:
- energy relative to the elements, uncorrected (eV per atom) = 0.273
- V (A^3/atom) = 28.59
- SG = I-42d, No. 122
- crystal system = tetragonal

***

Here is a relaxed structure of TmCo2Ni5 from Alexandria via LeMat-Bulk. Energies are from PBE-GGA.

Unit cell a=3.596 b=6.718 c=8.813 alpha=90.00 beta=90.00 gamma=90.00
Positions (direct):
Tm1 0.000 0.000 0.000
Tm2 0.500 0.500 0.500
Co1 0.000 0.500 0.258
Co2 0.000 0.500 0.742
Co3 0.500 0.000 0.242
Co4 0.500 0.000 0.758
Ni1 0.000 0.184 0.354
Ni2 0.000 0.184 0.646
Ni3 0.000 0.500 0.000
Ni4 0.000 0.816 0.354
Ni5 0.000 0.816 0.646
Ni6 0.500 0.000 0.500
Ni7 0.500 0.316 0.146
Ni8 0.500 0.316 0.854
Ni9 0.500 0.684 0.146
Ni10 0.500 0.684 0.854

Summary:
- V (A^3/atom) = 13.31
- energy relative to the elements (kJ/mol of atoms) = 0
- SG = Immm, No. 71
- crystal system = orthorhombic

***

Here is a relaxed structure of Y3TmCo from Alexandria via LeMat-Bulk. Energies are from PBE-GGA.

Unit cell a=4.688 b=9.787 c=6.407 alpha=90.00 beta=111.19 gamma=90.00
Positions (direct):
Y1 0.134 0.002 0.266
Y2 0.134 0.498 0.266
Y3 0.366 0.250 0.734
Y4 0.634 0.750 0.266
Y5 0.866 0.502 0.734
Y6 0.866 0.998 0.734
Tm1 0.364 0.750 0.729
Tm2 0.636 0.250 0.271
Co1 0.004 0.250 0.008
Co2 0.996 0.750 0.992

Summary:
- V (A^3/atom) = 27.41
- offset from the most stable computed form (meV/atom) = 43.5
- energy relative to the elements (kJ/mol of atoms) = 0
- SG = P2_1/m, No. 11
- crystal system = monoclinic